No. 1
This record from the Alexandria database describes a relaxed structure of KBiSe2O8. The functional is PBE.

Output
The size of the total moment is 0.0 μB per cell. Its theoretical density is 4.26 g cm⁻³. As for the energy relative to the elements, uncorrected: -98.0 kJ/mol of atoms.

The structure in CIF format:
```
data_KBiSe2O8
_cell_length_a 5.3500
_cell_length_b 5.3500
_cell_length_c 25.2131
_cell_angle_alpha 90.00
_cell_angle_beta 90.00
_cell_angle_gamma 120.00
_space_group_name_H-M_alt 'R -3'
_space_group_IT_number 148
_space_group_name_Hall '-R 3'
loop_
_atom_site_label
_atom_site_type_symbol
_atom_site_fract_x
_atom_site_fract_y
_atom_site_fract_z
K1 K 0.0000 0.0000 0.0000
Bi1 Bi 0.0000 0.0000 0.5000
Se1 Se 0.0000 0.0000 0.2465
O1 O 0.0000 0.0000 0.3117
O2 O 0.0026 0.7045 0.7767
```

No. 2
This record from the Alexandria database describes a relaxed structure of Te2RhBr. The functional is PBE.

Output
The size of the total moment is 0.0 μB per cell. Its theoretical density is 7.51 g cm⁻³. As for the energy relative to the elements, uncorrected: 23.3 kJ/mol of atoms.

The structure in CIF format:
```
data_Te2RhBr
_cell_length_a 4.140
_cell_length_b 4.140
_cell_length_c 5.647
_cell_angle_alpha 90.00
_cell_angle_beta 90.00
_cell_angle_gamma 90.00
_space_group_name_H-M_alt 'P 4/m m m'
_space_group_IT_number 123
_space_group_name_Hall '-P 4 2'
loop_
_atom_site_label
_atom_site_type_symbol
_atom_site_fract_x
_atom_site_fract_y
_atom_site_fract_z
Te1 Te 0.000 0.000 0.000
Te2 Te 0.500 0.500 0.500
Rh1 Rh 0.000 0.000 0.500
Br1 Br 0.500 0.500 0.000
```

No. 3
This record from the Alexandria database describes a relaxed structure of CaCd2. The functional is PBE.

Output
The size of the total moment is 0.0 μB per cell. The formation enthalpy at 0 K comes out at -0.136 eV per atom. Its theoretical density is 5.02 g cm⁻³.

The structure in CIF format:
```
data_CaCd2
_cell_length_a 5.751
_cell_length_b 5.751
_cell_length_c 10.603
_cell_angle_alpha 90.00
_cell_angle_beta 90.00
_cell_angle_gamma 90.00
_space_group_name_H-M_alt 'I 4/m c m'
_space_group_IT_number 140
_space_group_name_Hall '-I 4 2c'
loop_
_atom_site_label
_atom_site_type_symbol
_atom_site_fract_x
_atom_site_fract_y
_atom_site_fract_z
Ca1 Ca 0.000 0.000 0.250
Cd1 Cd 0.178 0.322 0.000
```

No. 4
This record from the Alexandria database describes a relaxed structure of TcRhBr2. The functional is PBE.

Output
The size of the total moment is 4.8 μB per cell. The energy above the most stable polymorph in this dataset is 297 kJ/mol of formula units. Its theoretical density is 8.79 g cm⁻³. As for the energy relative to the elements, uncorrected: 85.7 kJ/mol of atoms.

The structure in CIF format:
```
data_TcRhBr2
_cell_length_a 6.484
_cell_length_b 6.484
_cell_length_c 6.484
_cell_angle_alpha 90.00
_cell_angle_beta 90.00
_cell_angle_gamma 90.00
_space_group_name_H-M_alt 'F m -3 m'
_space_group_IT_number 225
_space_group_name_Hall '-F 4 2 3'
loop_
_atom_site_label
_atom_site_type_symbol
_atom_site_fract_x
_atom_site_fract_y
_atom_site_fract_z
Tc1 Tc 0.000 0.000 0.000
Rh1 Rh 0.000 0.000 0.500
Br1 Br 0.250 0.250 0.250
```

No. 5
This record from the Alexandria database describes a relaxed structure of Na2NpSbO6. The functional is PBE.

Output
The size of the total moment is 2.0 μB per cell. Its theoretical density is 5.92 g cm⁻³. As for the energy relative to the elements, uncorrected: -198.0 kJ/mol of atoms.

The structure in CIF format:
```
data_Na2NpSbO6
_cell_length_a 5.831
_cell_length_b 5.831
_cell_length_c 4.133
_cell_angle_alpha 90.00
_cell_angle_beta 90.00
_cell_angle_gamma 90.00
_space_group_name_H-M_alt 'P 4 m m'
_space_group_IT_number 99
_space_group_name_Hall 'P 4 -2'
loop_
_atom_site_label
_atom_site_type_symbol
_atom_site_fract_x
_atom_site_fract_y
_atom_site_fract_z
Na1 Na 0.000 0.500 0.000
Np1 Np 0.000 0.000 0.505
Sb1 Sb 0.500 0.500 0.505
O1 O 0.000 0.000 0.005
O2 O 0.257 0.257 0.506
O3 O 0.500 0.500 0.005
```

No. 6
This record from the Alexandria database describes a relaxed structure of KCd2Pb. The functional is PBE.

Output
The size of the total moment is 0.0 μB per cell. The energy above the most stable polymorph in this dataset is 37 kJ/mol of formula units. The formation enthalpy at 0 K comes out at -0.006 eV per atom. Its theoretical density is 6.34 g cm⁻³.

The structure in CIF format:
```
data_KCd2Pb
_cell_length_a 12.941
_cell_length_b 3.654
_cell_length_c 5.834
_cell_angle_alpha 90.00
_cell_angle_beta 116.54
_cell_angle_gamma 90.00
_space_group_name_H-M_alt 'C 1 m 1'
_space_group_IT_number 8
_space_group_name_Hall 'C -2y'
loop_
_atom_site_label
_atom_site_type_symbol
_atom_site_fract_x
_atom_site_fract_y
_atom_site_fract_z
K1 K 0.000 0.000 0.000
Cd1 Cd 0.011 0.500 0.511
Cd2 Cd 0.220 0.000 0.718
Pb1 Pb 0.285 0.500 0.285
```

No. 7
This record from the Alexandria database describes a relaxed structure of BOsI2O. The functional is PBE.

Output
The size of the total moment is 0.0 μB per cell. The energy above the most stable polymorph in this dataset is 0 kJ/mol of formula units. Its theoretical density is 9.58 g cm⁻³. As for the energy relative to the elements, uncorrected: 75.3 kJ/mol of atoms.

The structure in CIF format:
```
data_BOsI2O
_cell_length_a 5.210
_cell_length_b 5.210
_cell_length_c 3.008
_cell_angle_alpha 90.00
_cell_angle_beta 90.00
_cell_angle_gamma 90.00
_space_group_name_H-M_alt 'P 4/m m m'
_space_group_IT_number 123
_space_group_name_Hall '-P 4 2'
loop_
_atom_site_label
_atom_site_type_symbol
_atom_site_fract_x
_atom_site_fract_y
_atom_site_fract_z
B1 B 0.000 0.000 0.000
Os1 Os 0.500 0.500 0.500
I1 I 0.000 0.500 0.000
O1 O 0.000 0.000 0.500
```

No. 8
This record from the Alexandria database describes a relaxed structure of Ge2SbTe4. The functional is PBE.

Output
The size of the total moment is 0.0 μB per cell. The energy above the most stable polymorph in this dataset is 0 kJ/mol of formula units. Its theoretical density is 5.89 g cm⁻³. As for the energy relative to the elements, uncorrected: -3.7 kJ/mol of atoms.

The structure in CIF format:
```
data_Ge2SbTe4
_cell_length_a 4.109
_cell_length_b 7.309
_cell_length_c 8.391
_cell_angle_alpha 115.33
_cell_angle_beta 104.08
_cell_angle_gamma 90.17
_space_group_name_H-M_alt 'P -1'
_space_group_IT_number 2
_space_group_name_Hall '-P 1'
loop_
_atom_site_label
_atom_site_type_symbol
_atom_site_fract_x
_atom_site_fract_y
_atom_site_fract_z
Ge1 Ge 0.249 0.217 0.494
Sb1 Sb 0.500 0.500 0.000
Te1 Te 0.130 0.463 0.263
Te2 Te 0.370 0.037 0.742
```